# 1
Density functional theory data (GGA-PBE) for crystalline KCaPt at its relaxed geometry.

Cell lengths 4.3296, 4.3296, 7.1671 Å; angles 90.00, 90.00, 120.00 degrees
Space group P3m1 (No. 156)
Symmetry-distinct sites (fractional):
K (0.0000, 0.0000, 0.0000) x1
Ca (0.3333, 0.6667, 0.4634) x1
Pt (0.6667, 0.3333, 0.2907) x1

Properties
E_form: -0.25 eV/atom
DOS at the Fermi energy: 2.2 states/eV/cell



# 2
Density functional theory data (GGA-PBE) for crystalline ScTl2Te at its relaxed geometry.

Cell lengths 4.7469, 4.7469, 9.5263 Å; angles 90.00, 90.00, 90.00 degrees
Space group I-4m2 (No. 119)
Symmetry-distinct sites (fractional):
Sc (0.0000, 0.0000, 0.0000) x2
Tl (0.0000, 0.0000, 0.5000) x2
Tl (0.0000, 0.5000, 0.2500) x2
Te (0.0000, 0.5000, 0.7500) x2

Properties
ΔE to the lowest computed polymorph: 0.193 eV per atom
DOS at the Fermi energy: 5.8 states/eV/cell
ΔE_f (raw): -0.908 eV per formula unit



# 3
Density functional theory data (GGA-PBE) for crystalline BaCr2Ni at its relaxed geometry.

Cell lengths 5.9232, 8.5257, 3.3233 Å; angles 90.00, 90.00, 90.00 degrees
Space group Cmmm (No. 65)
Symmetry-distinct sites (fractional):
Ba (0.0000, 0.0000, 0.0000) x2
Cr (0.2500, 0.2500, 0.5000) x4
Ni (0.0000, 0.5000, 0.0000) x2

Properties
E_form: 1.21 eV/atom
ΔE to the lowest computed polymorph: 0.756 eV per atom
DOS at the Fermi energy: 9.0 states/eV/cell



# 4
Density functional theory data (GGA-PBE) for crystalline UIO at its relaxed geometry.

Cell lengths 3.8956, 3.8956, 5.3277 Å; angles 90.00, 90.00, 120.00 degrees
Space group P-6m2 (No. 187)
Symmetry-distinct sites (fractional):
U (0.0000, 0.0000, 0.0000) x1
I (0.6667, 0.3333, 0.5000) x1
O (0.3333, 0.6667, 0.0000) x1

Properties
DOS at the Fermi energy: 5.7 states/eV/cell
ΔE_f (raw): -5.481 eV per formula unit



# 5
Density functional theory data (GGA-PBE) for crystalline Nd2Al3SnPd4 at its relaxed geometry.

Cell lengths 4.3655, 4.3655, 10.5672 Å; angles 90.00, 90.00, 90.00 degrees
Space group P-4m2 (No. 115)
Symmetry-distinct sites (fractional):
Nd (0.0000, 0.5000, 0.2457) x2
Al (0.0000, 0.5000, 0.8793) x2
Al (0.5000, 0.5000, 0.5000) x1
Sn (0.0000, 0.0000, 0.5000) x1
Pd (0.0000, 0.0000, 0.0000) x1
Pd (0.0000, 0.5000, 0.6448) x2
Pd (0.5000, 0.5000, 0.0000) x1

Properties
E_form: -0.84 eV/atom
DOS at the Fermi energy: 5.7 states/eV/cell



# 6
Density functional theory data (GGA-PBE) for crystalline AgIrI2 at its relaxed geometry.

Cell lengths 6.3694, 6.3694, 12.4927 Å; angles 90.00, 90.00, 90.00 degrees
Space group I-42d (No. 122)
Symmetry-distinct sites (fractional):
Ag (0.0000, 0.0000, 0.0000) x4
Ir (0.0000, 0.0000, 0.5000) x4
I (0.2113, 0.2500, 0.6250) x8

Properties
ΔE to the lowest computed polymorph: 0.000 eV per atom
DOS at the Fermi energy: 6.7 states/eV/cell
ΔE_f (raw): 1.948 eV per formula unit



# 7
Density functional theory data (GGA-PBE) for crystalline Tb8Pr2Hg at its relaxed geometry.

Cell lengths 17.5730, 5.4439, 7.8687 Å; angles 90.00, 111.43, 90.00 degrees
Space group C2/m (No. 12)
Symmetry-distinct sites (fractional):
Tb (0.0182, 0.0000, 0.2659) x4
Tb (0.0962, 0.5000, 0.9268) x4
Tb (0.1629, 0.5000, 0.4213) x4
Tb (0.1782, 0.0000, 0.7289) x4
Pr (0.1886, 0.0000, 0.1596) x4
Hg (0.0000, 0.5000, 0.5000) x2

Properties
E_form: 0.03 eV/atom
ΔE to the lowest computed polymorph: 0.064 eV per atom
DOS at the Fermi energy: 31.7 states/eV/cell



# 8
Density functional theory data (GGA-PBE) for crystalline CeTi2N at its relaxed geometry.

Cell lengths 2.7687, 2.7687, 7.8067 Å; angles 90.00, 90.00, 90.00 degrees
Space group P4/mmm (No. 123)
Symmetry-distinct sites (fractional):
Ce (0.0000, 0.0000, 0.0000) x1
Ti (0.5000, 0.5000, 0.3432) x2
N (0.0000, 0.0000, 0.5000) x1

Properties
ΔE to the lowest computed polymorph: 0.539 eV per atom
DOS at the Fermi energy: 7.6 states/eV/cell
ΔE_f (raw): -0.910 eV per formula unit



# 9
Density functional theory data (GGA-PBE) for crystalline CaCu2As2 at its relaxed geometry.

Cell lengths 4.4877, 4.4877, 9.2764 Å; angles 90.00, 90.00, 90.00 degrees
Space group I4/mmm (No. 139)
Symmetry-distinct sites (fractional):
Ca (0.0000, 0.0000, 0.0000) x2
Cu (0.0000, 0.0000, 0.3665) x4
As (0.0000, 0.5000, 0.2500) x4

Properties
E_form: -0.34 eV/atom
DOS at the Fermi energy: 4.3 states/eV/cell



# 10
Density functional theory data (GGA-PBE) for crystalline NaNbAg2 at its relaxed geometry.

Cell lengths 7.6269, 7.6269, 5.9063 Å; angles 90.00, 90.00, 90.00 degrees
Space group I-42d (No. 122)
Symmetry-distinct sites (fractional):
Na (0.0000, 0.0000, 0.0000) x4
Nb (0.0000, 0.0000, 0.5000) x4
Ag (0.2495, 0.2500, 0.1250) x8

Properties
E_form: 0.86 eV/atom
ΔE to the lowest computed polymorph: 0.315 eV per atom
DOS at the Fermi energy: 13.7 states/eV/cell



# 11
Density functional theory data (GGA-PBE) for crystalline CuTc at its relaxed geometry.

Cell lengths 2.7254, 2.7254, 8.4991 Å; angles 90.00, 90.00, 120.00 degrees
Space group P-3m1 (No. 164)
Symmetry-distinct sites (fractional):
Cu (0.3333, 0.6667, 0.1188) x2
Tc (0.3333, 0.6667, 0.6215) x2

Properties
E_form: 0.09 eV/atom
ΔE to the lowest computed polymorph: 0.000 eV per atom
DOS at the Fermi energy: 2.6 states/eV/cell



# 12
Density functional theory data (GGA-PBE) for crystalline Li2TcH4 at its relaxed geometry.

Cell lengths 3.4447, 3.4447, 10.3122 Å; angles 90.00, 90.00, 90.00 degrees
Space group I4/mmm (No. 139)
Symmetry-distinct sites (fractional):
Li (0.0000, 0.0000, 0.1468) x4
Tc (0.0000, 0.0000, 0.5000) x2
H (0.0000, 0.0000, 0.3285) x4
H (0.0000, 0.5000, 0.0000) x4

Properties
ΔE to the lowest computed polymorph: 0.035 eV per atom
DOS at the Fermi energy: 4.3 states/eV/cell



# 13
Density functional theory data (GGA-PBE) for crystalline SrTmAgPd at its relaxed geometry.

Cell lengths 7.3132, 7.3132, 7.3132 Å; angles 90.00, 90.00, 90.00 degrees
Space group F-43m (No. 216)
Symmetry-distinct sites (fractional):
Sr (0.0000, 0.0000, 0.0000) x4
Tm (0.0000, 0.0000, 0.5000) x4
Ag (0.2500, 0.2500, 0.7500) x4
Pd (0.2500, 0.2500, 0.2500) x4

Properties
E_form: -0.41 eV/atom
DOS at the Fermi energy: 7.6 states/eV/cell



# 14
Density functional theory data (GGA-PBE) for crystalline TaTiCr2Cl at its relaxed geometry.

Cell lengths 4.8633, 4.8633, 4.9522 Å; angles 90.00, 90.00, 90.00 degrees
Space group P4/mmm (No. 123)
Symmetry-distinct sites (fractional):
Ta (0.0000, 0.0000, 0.0000) x1
Ti (0.0000, 0.0000, 0.5000) x1
Cr (0.0000, 0.5000, 0.0000) x2
Cl (0.5000, 0.5000, 0.5000) x1

Properties
DOS at the Fermi energy: 8.0 states/eV/cell
ΔE_f (raw): 7.211 eV per formula unit



# 15
Density functional theory data (GGA-PBE) for crystalline BaLaB3 at its relaxed geometry.

Cell lengths 4.8190, 4.8190, 4.8190 Å; angles 90.00, 90.00, 90.00 degrees
Space group Pm-3m (No. 221)
Symmetry-distinct sites (fractional):
Ba (0.0000, 0.0000, 0.0000) x1
La (0.5000, 0.5000, 0.5000) x1
B (0.0000, 0.0000, 0.5000) x3

Properties
E_form: 1.95 eV/atom
ΔE to the lowest computed polymorph: 0.494 eV per atom
DOS at the Fermi energy: 5.0 states/eV/cell



# 16
Density functional theory data (GGA-PBE) for crystalline TaMo2W3 at its relaxed geometry.

Cell lengths 4.5999, 8.0976, 5.3638 Å; angles 90.00, 90.00, 90.00 degrees
Space group Pmc2_1 (No. 26)
Symmetry-distinct sites (fractional):
Ta (0.0000, 0.1620, 0.0000) x2
Mo (0.0000, 0.1758, 0.4993) x2
Mo (0.5000, 0.3802, 0.7820) x2
W (0.0000, 0.4972, 0.5694) x2
W (0.5000, 0.0453, 0.7439) x2
W (0.5000, 0.2888, 0.2779) x2

Properties
E_form: 0.20 eV/atom
ΔE to the lowest computed polymorph: 0.000 eV per atom
DOS at the Fermi energy: 8.6 states/eV/cell



# 17
Density functional theory data (GGA-PBE) for crystalline AlPbCl2 at its relaxed geometry.

Cell lengths 11.7387, 3.4032, 6.0207 Å; angles 90.00, 107.05, 90.00 degrees
Space group Cm (No. 8)
Symmetry-distinct sites (fractional):
Al (0.0000, 0.0000, 0.0000) x2
Pb (0.3963, 0.0000, 0.5823) x2
Cl (0.0747, 0.5000, 0.3182) x2
Cl (0.3083, 0.5000, 0.9948) x2

Properties
ΔE to the lowest computed polymorph: 0.000 eV per atom
DOS at the Fermi energy: 3.8 states/eV/cell
ΔE_f (raw): -2.370 eV per formula unit



# 18
Density functional theory data (GGA-PBE) for crystalline Er3ZrAl8 at its relaxed geometry.

Cell lengths 5.4711, 5.4711, 26.8563 Å; angles 90.00, 90.00, 120.00 degrees
Space group R3m (No. 160, hexagonal axes)
Symmetry-distinct sites (fractional):
Er (0.0000, 0.0000, 0.0000) x3
Er (0.0000, 0.0000, 0.1254) x3
Er (0.0000, 0.0000, 0.6244) x3
Zr (0.0000, 0.0000, 0.4998) x3
Al (0.0000, 0.0000, 0.3123) x3
Al (0.0000, 0.0000, 0.8125) x3
Al (0.0011, 0.5005, 0.0639) x9
Al (0.1670, 0.3340, 0.8943) x9

Properties
E_form: -0.51 eV/atom
ΔE to the lowest computed polymorph: 0.000 eV per atom
DOS at the Fermi energy: 21.8 states/eV/cell



# 19
Density functional theory data (GGA-PBE) for crystalline CsMgBe2Cl8 at its relaxed geometry.

Cell lengths 6.2035, 6.2035, 28.4108 Å; angles 90.00, 90.00, 120.00 degrees
Space group R-3 (No. 148, hexagonal axes)
Symmetry-distinct sites (fractional):
Cs (0.0000, 0.0000, 0.0000) x3
Mg (0.0000, 0.0000, 0.5000) x3
Be (0.0000, 0.0000, 0.2390) x6
Cl (0.0000, 0.0000, 0.3100) x6
Cl (0.0122, 0.6920, 0.2182) x18

Properties
DOS at the Fermi energy: 45.3 states/eV/cell
ΔE_f (raw): -17.284 eV per formula unit



# 20
Density functional theory data (GGA-PBE) for crystalline Tm7In5 at its relaxed geometry.

Cell lengths 17.0572, 3.5491, 12.2515 Å; angles 90.00, 118.76, 90.00 degrees
Space group C2/m (No. 12)
Symmetry-distinct sites (fractional):
Tm (0.0000, 0.0000, 0.0000) x2
Tm (0.0331, 0.5000, 0.2492) x4
Tm (0.1417, 0.0000, 0.7600) x4
Tm (0.1666, 0.0000, 0.5066) x4
In (0.0000, 0.5000, 0.5000) x2
In (0.1582, 0.5000, 0.9961) x4
In (0.1968, 0.0000, 0.2566) x4

Properties
E_form: -0.22 eV/atom
DOS at the Fermi energy: 26.9 states/eV/cell



# 21
Density functional theory data (GGA-PBE) for crystalline FeAs2W at its relaxed geometry.

Cell lengths 3.0547, 3.0547, 22.7669 Å; angles 90.00, 90.00, 120.00 degrees
Space group R-3m (No. 166, hexagonal axes)
Symmetry-distinct sites (fractional):
Fe (0.0000, 0.0000, 0.0000) x3
As (0.0000, 0.0000, 0.2533) x6
W (0.0000, 0.0000, 0.5000) x3

Properties
E_form: 0.27 eV/atom
ΔE to the lowest computed polymorph: 0.194 eV per atom
DOS at the Fermi energy: 12.1 states/eV/cell



# 22
Density functional theory data (GGA-PBE) for crystalline Rb6HCl3F2 at its relaxed geometry.

Cell lengths 7.6390, 13.2305, 7.7400 Å; angles 90.00, 109.22, 90.00 degrees
Space group C2/m (No. 12)
Symmetry-distinct sites (fractional):
Rb (0.2318, 0.0000, 0.2183) x4
Rb (0.2435, 0.3294, 0.2187) x8
H (0.0000, 0.5000, 0.0000) x2
Cl (0.0000, 0.0000, 0.5000) x2
Cl (0.0000, 0.3352, 0.5000) x4
F (0.0000, 0.1669, 0.0000) x4

Properties
DOS at the Fermi energy: 0.0 states/eV/cell
Electronic total energy: -81.62 eV for the cell shown



# 23
Density functional theory data (GGA-PBE) for crystalline InAuS2 at its relaxed geometry.

Cell lengths 7.1532, 4.5433, 12.0944 Å; angles 90.00, 104.65, 90.00 degrees
Space group P2_1/c (No. 14)
Symmetry-distinct sites (fractional):
In (0.1736, 0.0111, 0.2447) x4
Au (0.0984, 0.1985, 0.9334) x4
S (0.3122, 0.1396, 0.6155) x4
S (0.4147, 0.6995, 0.3862) x4

Properties
DOS at the Fermi energy: 0.0 states/eV/cell
ΔE_f (raw): -0.220 eV per formula unit



# 24
Density functional theory data (GGA-PBE) for crystalline La7TbDy3 at its relaxed geometry.

Cell lengths 6.0166, 11.4116, 11.6072 Å; angles 90.00, 90.00, 90.00 degrees
Space group Immm (No. 71)
Symmetry-distinct sites (fractional):
La (0.0000, 0.0000, 0.0000) x2
La (0.0000, 0.2101, 0.5000) x4
La (0.0000, 0.3058, 0.2110) x8
Tb (0.0000, 0.5000, 0.5000) x2
Dy (0.0000, 0.0000, 0.2951) x4
Dy (0.0000, 0.5000, 0.0000) x2

Properties
E_form: 0.21 eV/atom
ΔE to the lowest computed polymorph: 0.101 eV per atom
DOS at the Fermi energy: 32.1 states/eV/cell



# 25
Density functional theory data (GGA-PBE) for crystalline CaTe2As at its relaxed geometry.

Cell lengths 3.9961, 4.1230, 14.4032 Å; angles 90.00, 90.00, 90.00 degrees
Space group Imm2 (No. 44)
Symmetry-distinct sites (fractional):
Ca (0.0000, 0.0000, 0.0000) x2
Te (0.0000, 0.0000, 0.5846) x2
Te (0.0000, 0.5000, 0.8214) x2
As (0.0000, 0.5000, 0.2642) x2

Properties
DOS at the Fermi energy: 3.5 states/eV/cell
ΔE_f (raw): -2.063 eV per formula unit